# 1
Entry from Alexandria: a geometry-optimized La2IrRu structure (GGA-PBE).

**Energy of formation**: -0.1094 eV per atom

Structure (POSCAR):
```
La2IrRu
1.0
-1.224 3.426 1.748
1.178 -1.412 3.593
5.407 2.363 -0.844
Ir La Ru
1 2 1
Direct
0.500 0.500 0.830 Ir
0.000 0.000 0.917 La
0.500 0.500 0.341 La
0.000 0.000 0.413 Ru
```

# 2
Entry from Alexandria: a geometry-optimized MnSnS2Cl structure (GGA-PBE).

**E_form (uncorrected)**: -0.35 eV per atom

Structure (POSCAR):
```
MnSnS2Cl
1.0
4.771 0.000 0.000
0.000 4.771 0.000
0.000 0.000 4.878
S Cl Sn Mn
2 1 1 1
Direct
0.000 0.500 0.000 S
0.500 0.000 0.000 S
0.000 0.000 0.500 Cl
0.500 0.500 0.500 Sn
0.000 0.000 0.000 Mn
```

# 3
Entry from Alexandria: a geometry-optimized Pm3Ho6Tm2Mg structure (GGA-PBE).

**Energy of formation**: 0.0352 eV per atom

Structure (POSCAR):
```
Pm3Ho6Tm2Mg
1.0
6.138 -0.003 0.008
-3.070 5.315 0.008
-1.045 -1.810 11.450
Ho Pm Tm Mg
6 3 2 1
Direct
0.253 0.253 0.755 Ho
0.413 0.080 0.244 Ho
0.587 0.920 0.756 Ho
0.747 0.747 0.245 Ho
0.920 0.587 0.756 Ho
0.080 0.413 0.244 Ho
0.166 0.834 0.500 Pm
0.500 0.500 0.500 Pm
0.834 0.166 0.500 Pm
0.666 0.334 0.000 Tm
0.334 0.666 0.000 Tm
0.000 0.000 0.000 Mg
```

# 4
Entry from Alexandria: a geometry-optimized Tb2Pr5Nd5 structure (GGA-PBE).

**Energy of formation**: 0.0143 eV per atom

Structure (POSCAR):
```
Tb2Pr5Nd5
1.0
-4.065 -2.866 -1.514
2.817 -7.103 -3.048
-0.930 -7.594 7.948
Nd Pr Tb
5 5 2
Direct
0.333 0.334 0.000 Nd
0.418 0.914 0.249 Nd
0.667 0.666 0.000 Nd
0.500 0.500 0.500 Nd
0.582 0.086 0.751 Nd
0.835 0.831 0.499 Pr
0.749 0.252 0.250 Pr
0.000 0.000 0.000 Pr
0.165 0.169 0.501 Pr
0.251 0.748 0.750 Pr
0.916 0.416 0.751 Tb
0.084 0.584 0.249 Tb
```